Record 1
This record from Alexandria describes a relaxed structure of FeTc2Ni. The functional is PBE.

Lattice parameters (Å, degrees): 4.5430 4.5430 4.5430 131.83 131.83 70.50
Element x y z (fractional)
Fe  0.0000  0.0000  0.0000
Tc  0.2500  0.7500  0.5000
Tc  0.7500  0.2500  0.5000
Ni  0.5000  0.5000  0.0000

Results
DOS at the Fermi energy: 1.232 states/eV/atom
DFT total energy: -8.676 eV per atom
DFT formation energy: 0.07 eV/atom

***

Record 2
This record from Alexandria describes a relaxed structure of HfIr3O. The functional is PBE.

Lattice parameters (Å, degrees): 4.8797 4.8797 4.8797 90.00 90.00 90.00
Element x y z (fractional)
Hf  0.0000  0.0000  0.0000
Ir  0.0000  0.0000  0.5000
Ir  0.0000  0.5000  0.0000
Ir  0.5000  0.0000  0.0000
O  0.5000  0.5000  0.5000

Results
DOS at the Fermi energy: 1.461 states/eV/atom
DFT total energy: -6.104 eV per atom
uncorrected formation energy: 2194.8 meV per atom

***

Record 3
This record from Alexandria describes a relaxed structure of KPr2Hg2Pb2. The functional is PBE.

Lattice parameters (Å, degrees): 10.6224 10.6224 10.6224 28.76 28.76 28.76
Element x y z (fractional)
K  0.0000  0.0000  0.0000
Pr  0.1354  0.1354  0.1354
Pr  0.8646  0.8646  0.8646
Hg  0.4427  0.4427  0.4427
Hg  0.5573  0.5573  0.5573
Pb  0.2544  0.2544  0.2544
Pb  0.7456  0.7456  0.7456

Results
DOS at the Fermi energy: 0.716 states/eV/atom
DFT total energy: -2.929 eV per atom
DFT formation energy: -0.26 eV/atom

***

Record 4
This record from Alexandria describes a relaxed structure of BeGe2Se. The functional is PBE.

Lattice parameters (Å, degrees): 4.6728 4.6728 4.6728 60.00 60.00 60.00
Element x y z (fractional)
Be  0.0000  0.0000  0.0000
Ge  0.2500  0.2500  0.2500
Ge  0.7500  0.7500  0.7500
Se  0.5000  0.5000  0.5000

Results
DOS at the Fermi energy: 0.660 states/eV/atom
DFT total energy: -3.484 eV per atom
uncorrected formation energy: 627.4 meV per atom

***

Record 5
This record from Alexandria describes a relaxed structure of SiI2OF. The functional is PBE.

Lattice parameters (Å, degrees): 5.1597 5.1597 3.9369 90.00 90.00 90.00
Element x y z (fractional)
Si  0.0000  0.0000  0.0000
I  0.0000  0.5000  0.5000
I  0.5000  0.0000  0.5000
O  0.5000  0.5000  0.0000
F  0.5000  0.5000  0.5000

Results
DOS at the Fermi energy: 0.696 states/eV/atom
DFT total energy: -2.331 eV per atom
uncorrected formation energy: 739.2 meV per atom

***

Record 6
This record from Alexandria describes a relaxed structure of BeTc4Os. The functional is PBE.

Lattice parameters (Å, degrees): 5.0246 5.0246 5.0246 60.00 60.00 60.00
Element x y z (fractional)
Be  0.0000  0.0000  0.0000
Tc  0.3737  0.3737  0.3737
Tc  0.3737  0.3737  0.8789
Tc  0.3737  0.8789  0.3737
Tc  0.8789  0.3737  0.3737
Os  0.7500  0.7500  0.7500

Results
DOS at the Fermi energy: 0.530 states/eV/atom
DFT total energy: -8.847 eV per atom
DFT formation energy: 0.56 eV/atom

***

Record 7
This record from Alexandria describes a relaxed structure of Ba2PbO2. The functional is PBE.

Lattice parameters (Å, degrees): 7.0555 7.0555 7.0555 136.18 136.18 63.71
Element x y z (fractional)
Ba  0.2500  0.7500  0.5000
Ba  0.7500  0.2500  0.5000
Pb  0.0000  0.0000  0.0000
O  0.2080  0.2080  0.0000
O  0.7920  0.7920  0.0000

Results
DOS at the Fermi energy: 0.373 states/eV/atom
DFT total energy: -5.140 eV per atom
uncorrected formation energy: -1646.0 meV per atom

***

Record 8
This record from Alexandria describes a relaxed structure of Ac3Pb4Au2. The functional is PBE.

Lattice parameters (Å, degrees): 6.7576 6.7576 9.6796 102.87 102.87 42.66
Element x y z (fractional)
Ac  0.0000  0.0000  0.0000
Ac  0.3243  0.3243  0.3447
Ac  0.6757  0.6757  0.6553
Pb  0.0326  0.0326  0.3584
Pb  0.3097  0.3097  0.9628
Pb  0.6903  0.6903  0.0372
Pb  0.9674  0.9674  0.6416
Au  0.3586  0.3586  0.6854
Au  0.6414  0.6414  0.3146

Results
DOS at the Fermi energy: 0.574 states/eV/atom
DFT total energy: -4.281 eV per atom
DFT formation energy: -0.54 eV/atom

***

Record 9
This record from Alexandria describes a relaxed structure of CaPm2IO8. The functional is PBE.

Lattice parameters (Å, degrees): 5.1027 7.1373 5.1104 90.00 90.77 90.00
Element x y z (fractional)
Ca  0.0000  0.0000  0.0000
Pm  0.5000  0.2510  0.5000
Pm  0.5000  0.7490  0.5000
I  0.0000  0.5000  0.0000
O  0.1772  0.3045  0.8207
O  0.1772  0.6955  0.8207
O  0.2666  0.5000  0.2635
O  0.3124  0.0000  0.3108
O  0.6876  0.0000  0.6892
O  0.7334  0.5000  0.7365
O  0.8228  0.3045  0.1793
O  0.8228  0.6955  0.1793

Results
DOS at the Fermi energy: 0.699 states/eV/atom
DFT total energy: -6.385 eV per atom
uncorrected formation energy: -1992.1 meV per atom

***

Record 10
This record from Alexandria describes a relaxed structure of Li2YHf2Te6. The functional is PBE.

Lattice parameters (Å, degrees): 7.1532 7.1532 7.5001 98.95 98.95 120.32
Element x y z (fractional)
Li  0.1599  0.8401  0.0000
Li  0.8401  0.1599  0.0000
Y  0.0000  0.0000  0.5000
Hf  0.3332  0.6668  0.5000
Hf  0.6668  0.3332  0.5000
Te  0.0814  0.4302  0.7485
Te  0.2700  0.2700  0.2513
Te  0.4302  0.0814  0.7485
Te  0.5698  0.9186  0.2515
Te  0.7300  0.7300  0.7487
Te  0.9186  0.5698  0.2515

Results
DOS at the Fermi energy: 0.376 states/eV/atom
DFT total energy: -5.447 eV per atom
uncorrected formation energy: -988.2 meV per atom

***

Record 11
This record from Alexandria describes a relaxed structure of NdPHRh. The functional is PBE.

Lattice parameters (Å, degrees): 3.9388 3.9388 7.9614 90.00 90.00 90.00
Element x y z (fractional)
Nd  0.2500  0.2500  0.1711
Nd  0.7500  0.7500  0.8289
P  0.2500  0.2500  0.6741
P  0.7500  0.7500  0.3259
H  0.2500  0.7500  0.0000
H  0.7500  0.2500  0.0000
Rh  0.2500  0.7500  0.5000
Rh  0.7500  0.2500  0.5000

Results
DOS at the Fermi energy: 0.479 states/eV/atom
DFT total energy: -6.202 eV per atom

***

Record 12
This record from Alexandria describes a relaxed structure of Rb2SrSc. The functional is PBE.

Lattice parameters (Å, degrees): 6.7865 6.7865 6.7865 60.00 60.00 60.00
Element x y z (fractional)
Rb  0.2500  0.2500  0.2500
Rb  0.7500  0.7500  0.7500
Sr  0.0000  0.0000  0.0000
Sc  0.5000  0.5000  0.5000

Results
DOS at the Fermi energy: 2.297 states/eV/atom
DFT total energy: -1.804 eV per atom
DFT formation energy: 0.68 eV/atom

***

Record 13
This record from Alexandria describes a relaxed structure of In2TeHPd. The functional is PBE.

Lattice parameters (Å, degrees): 5.4625 5.4625 3.6218 90.00 90.00 90.00
Element x y z (fractional)
In  0.0000  0.5000  0.0000
In  0.5000  0.0000  0.0000
Te  0.0000  0.0000  0.5000
H  0.5000  0.5000  0.5000
Pd  0.5000  0.5000  0.0000

Results
DOS at the Fermi energy: 0.197 states/eV/atom
DFT total energy: -3.527 eV per atom

***

Record 14
This record from Alexandria describes a relaxed structure of CaY4S7. The functional is PBE.

Lattice parameters (Å, degrees): 6.7338 6.7338 11.6939 104.26 104.26 33.20
Element x y z (fractional)
Ca  0.0000  0.0000  0.0000
Y  0.1212  0.1212  0.4190
Y  0.2280  0.2280  0.8439
Y  0.4266  0.4266  0.6209
Y  0.8151  0.8151  0.2295
S  0.0763  0.0763  0.6318
S  0.1622  0.1622  0.2071
S  0.3682  0.3682  0.0688
S  0.4624  0.4624  0.3718
S  0.6046  0.6046  0.8990
S  0.7800  0.7800  0.4727
S  0.8503  0.8503  0.7696

Results
DFT total energy: -6.799 eV per atom
uncorrected formation energy: -2069.8 meV per atom

***

Record 15
This record from Alexandria describes a relaxed structure of KYSiTe4. The functional is PBE.

Lattice parameters (Å, degrees): 7.1886 7.5762 9.7136 90.00 107.85 90.00
Element x y z (fractional)
K  0.2298  0.2500  0.0543
K  0.7702  0.7500  0.9457
Y  0.2312  0.2500  0.5531
Y  0.7688  0.7500  0.4469
Si  0.2226  0.7500  0.3292
Si  0.7774  0.2500  0.6708
Te  0.0142  0.5073  0.7126
Te  0.0142  0.9927  0.7126
Te  0.4227  0.7500  0.1593
Te  0.4360  0.7500  0.5876
Te  0.5640  0.2500  0.4124
Te  0.5773  0.2500  0.8407
Te  0.9858  0.0073  0.2874
Te  0.9858  0.4927  0.2874

Results
DFT total energy: -4.447 eV per atom
uncorrected formation energy: -796.8 meV per atom

***

Record 16
This record from Alexandria describes a relaxed structure of Pm2Dy2Zn3. The functional is PBE.

Lattice parameters (Å, degrees): 7.7888 7.7888 7.7888 109.47 109.47 109.47
Element x y z (fractional)
Pm  0.0000  0.1515  0.5000
Pm  0.1515  0.5000  0.0000
Pm  0.3485  0.3485  0.3485
Pm  0.5000  0.0000  0.1515
Dy  0.0000  0.6396  0.5000
Dy  0.5000  0.0000  0.6396
Dy  0.6396  0.5000  0.0000
Dy  0.8604  0.8604  0.8604
Zn  0.1136  0.8636  0.2500
Zn  0.2500  0.1136  0.8636
Zn  0.3864  0.6364  0.7500
Zn  0.6364  0.7500  0.3864
Zn  0.7500  0.3864  0.6364
Zn  0.8636  0.2500  0.1136

Results
DOS at the Fermi energy: 1.402 states/eV/atom
DFT total energy: -3.358 eV per atom
DFT formation energy: -0.14 eV/atom

***

Record 17
This record from Alexandria describes a relaxed structure of ZrNb2Ge. The functional is PBE.

Lattice parameters (Å, degrees): 10.1688 10.1688 4.1013 90.00 90.00 159.22
Element x y z (fractional)
Zr  0.1954  0.8046  0.7500
Zr  0.8046  0.1954  0.2500
Nb  0.0583  0.9417  0.2500
Nb  0.4345  0.5655  0.2500
Nb  0.5655  0.4345  0.7500
Nb  0.9417  0.0583  0.7500
Ge  0.3370  0.6630  0.7500
Ge  0.6630  0.3370  0.2500

Results
DOS at the Fermi energy: 0.616 states/eV/atom
DFT total energy: -8.829 eV per atom
DFT formation energy: -0.50 eV/atom

***

Record 18
This record from Alexandria describes a relaxed structure of Ca4Bi2Te. The functional is PBE.

Lattice parameters (Å, degrees): 9.4121 9.4121 9.4121 119.97 119.97 90.06
Element x y z (fractional)
Ca  0.2626  0.2880  0.5255
Ca  0.2629  0.7374  0.5255
Ca  0.2626  0.7371  0.9745
Ca  0.2880  0.2626  0.0255
Ca  0.7120  0.7374  0.9745
Ca  0.7374  0.2629  0.0255
Ca  0.7371  0.2626  0.4745
Ca  0.7374  0.7120  0.4745
Bi  0.0000  0.5000  0.5000
Bi  0.5000  0.0000  0.0000
Bi  0.5000  0.5000  0.0000
Bi  0.5000  0.5000  0.5000
Te  0.1250  0.8750  0.2500
Te  0.8750  0.1250  0.7500

Results
DFT total energy: -3.643 eV per atom
uncorrected formation energy: -941.3 meV per atom

***

Record 19
This record from Alexandria describes a relaxed structure of AcTlCdPd3. The functional is PBE.

Lattice parameters (Å, degrees): 7.6135 7.6135 6.5927 90.00 90.00 133.63
Element x y z (fractional)
Ac  0.1587  0.8413  0.7500
Ac  0.8413  0.1587  0.2500
Tl  0.3906  0.6094  0.7500
Tl  0.6094  0.3906  0.2500
Cd  0.1463  0.8537  0.2500
Cd  0.8537  0.1463  0.7500
Pd  0.2363  0.2363  0.0000
Pd  0.2363  0.2363  0.5000
Pd  0.3515  0.6485  0.2500
Pd  0.6485  0.3515  0.7500
Pd  0.7637  0.7637  0.0000
Pd  0.7637  0.7637  0.5000

Results
DOS at the Fermi energy: 0.478 states/eV/atom
DFT total energy: -4.176 eV per atom
DFT formation energy: -0.35 eV/atom

***

Record 20
This record from Alexandria describes a relaxed structure of NaHgPb2. The functional is PBE.

Lattice parameters (Å, degrees): 3.6479 4.5457 6.8935 90.00 90.00 90.00
Element x y z (fractional)
Na  0.0000  0.0000  0.0000
Hg  0.5000  0.5000  0.7811
Pb  0.0000  0.0000  0.5172
Pb  0.5000  0.5000  0.2706

Results
DOS at the Fermi energy: 0.239 states/eV/atom
DFT total energy: -2.370 eV per atom
DFT formation energy: -0.11 eV/atom

***

Record 21
This record from Alexandria describes a relaxed structure of LiMg4In4. The functional is PBE.

Lattice parameters (Å, degrees): 7.1249 7.1249 7.1249 95.80 95.80 142.94
Element x y z (fractional)
Li  0.0000  0.0000  0.0000
Mg  0.3347  0.3347  0.6694
Mg  0.3347  0.6653  0.0000
Mg  0.6653  0.3347  0.0000
Mg  0.6653  0.6653  0.3306
In  0.0000  0.3213  0.3213
In  0.0000  0.6787  0.6787
In  0.3213  0.0000  0.3213
In  0.6787  0.0000  0.6787

Results
DOS at the Fermi energy: 0.463 states/eV/atom
DFT total energy: -2.237 eV per atom
DFT formation energy: -0.10 eV/atom

***

Record 22
This record from Alexandria describes a relaxed structure of Er2Tl2Ag. The functional is PBE.

Lattice parameters (Å, degrees): 7.5723 7.5723 4.5233 90.00 90.00 90.00
Element x y z (fractional)
Er  0.1653  0.3347  0.0000
Er  0.3347  0.8347  0.0000
Er  0.6653  0.1653  0.0000
Er  0.8347  0.6653  0.0000
Tl  0.1416  0.6416  0.5000
Tl  0.3584  0.1416  0.5000
Tl  0.6416  0.8584  0.5000
Tl  0.8584  0.3584  0.5000
Ag  0.0000  0.0000  0.5000
Ag  0.5000  0.5000  0.5000

Results
DOS at the Fermi energy: 0.700 states/eV/atom
DFT total energy: -3.558 eV per atom
DFT formation energy: -0.22 eV/atom

***

Record 23
This record from Alexandria describes a relaxed structure of NaAc2Co. The functional is PBE.

Lattice parameters (Å, degrees): 3.6973 3.6973 9.7958 90.00 90.00 90.00
Element x y z (fractional)
Na  0.0000  0.0000  0.0000
Ac  0.5000  0.5000  0.3226
Ac  0.5000  0.5000  0.6774
Co  0.0000  0.0000  0.5000

Results
DOS at the Fermi energy: 0.971 states/eV/atom
DFT total energy: -4.038 eV per atom
DFT formation energy: 0.12 eV/atom

***

Record 24
This record from Alexandria describes a relaxed structure of DyScTcAu. The functional is PBE.

Lattice parameters (Å, degrees): 4.8179 4.8179 4.8179 60.00 60.00 60.00
Element x y z (fractional)
Dy  0.0000  0.0000  0.0000
Sc  0.5000  0.5000  0.5000
Tc  0.7500  0.7500  0.7500
Au  0.2500  0.2500  0.2500

Results
DOS at the Fermi energy: 0.379 states/eV/atom
DFT total energy: -6.546 eV per atom
DFT formation energy: -0.40 eV/atom

***

Record 25
This record from Alexandria describes a relaxed structure of BaSn2BiMo. The functional is PBE.

Lattice parameters (Å, degrees): 5.9841 5.9841 5.3466 90.00 90.00 90.00
Element x y z (fractional)
Ba  0.0000  0.0000  0.0000
Sn  0.0000  0.5000  0.5000
Sn  0.5000  0.0000  0.5000
Bi  0.5000  0.5000  0.5000
Mo  0.5000  0.5000  0.0000

Results
DOS at the Fermi energy: 0.692 states/eV/atom
DFT total energy: -4.201 eV per atom
DFT formation energy: 0.73 eV/atom